An optimized crystal structure of Ho6InAu2. Source: Alexandria, functional PBE.

Calculated values
Total energy (eV per atom): -4.5874
Symmetry: No. 71
Spin magnetization (μB per cell): 0.0

The structure in POSCAR format:
```
Ho6InAu2
1.0
-4.772 4.877 5.305
4.772 -4.877 5.305
4.772 4.877 -5.305
Ho In Au
12 2 4
direct
0.039 0.238 0.801
0.185 0.287 0.471
0.185 0.713 0.898
0.327 0.030 0.704
0.327 0.623 0.296
0.438 0.238 0.199
0.562 0.762 0.801
0.673 0.377 0.704
0.673 0.970 0.296
0.815 0.287 0.102
0.815 0.713 0.529
0.961 0.762 0.199
0.000 0.000 0.000
0.500 0.500 0.000
0.133 0.633 0.500
0.342 0.000 0.342
0.658 0.000 0.658
0.867 0.367 0.500
```

An optimized crystal structure of Zr3Cl. Source: Alexandria, functional PBE.

Calculated values
Symmetry: No. 65
Energy above the lowest structure with this stoichiometry (meV/atom): 118.2
Spin magnetization (μB per cell): 0.0

The structure in POSCAR format:
```
Zr3Cl
1.0
1.873 -2.546 0.000
1.873 2.546 0.000
0.000 0.000 9.068
Zr Cl
3 1
direct
0.000 0.000 0.000
0.500 0.500 0.260
0.500 0.500 0.740
0.000 0.000 0.500
```

An optimized crystal structure of BaLi2AcSn2. Source: Alexandria, functional PBE.

Calculated values
Total energy (eV per atom): -3.5463
Symmetry: No. 164
Spin magnetization (μB per cell): 0.0

The structure in POSCAR format:
```
BaLi2AcSn2
1.0
5.061 0.000 0.000
-2.531 4.383 0.000
0.000 0.000 8.567
Ba Li Ac Sn
1 2 1 2
direct
0.000 0.000 0.000
0.333 0.667 0.709
0.667 0.333 0.291
0.000 0.000 0.500
0.333 0.667 0.283
0.667 0.333 0.717
```

An optimized crystal structure of K2AlHg. Source: Alexandria, functional PBE.

Calculated values
Symmetry: No. 99
Energy above the lowest structure with this stoichiometry (meV/atom): 59.1
Spin magnetization (μB per cell): 0.0

The structure in POSCAR format:
```
K2AlHg
1.0
3.886 0.000 0.000
0.000 3.886 0.000
0.000 0.000 10.067
K Al Hg
2 1 1
direct
0.000 0.000 0.000
0.500 0.500 0.398
0.000 0.000 0.654
0.500 0.500 0.743
```

An optimized crystal structure of Tm2TlHg. Source: Alexandria, functional PBE.

Calculated values
Total energy (eV per atom): -3.2885
Symmetry: No. 123
Spin magnetization (μB per cell): 0.0

The structure in POSCAR format:
```
Tm2TlHg
1.0
3.722 0.000 0.000
0.000 3.722 0.000
0.000 0.000 7.421
Tm Tl Hg
2 1 1
direct
0.000 0.000 0.241
0.000 0.000 0.759
0.500 0.500 0.500
0.500 0.500 0.000
```

An optimized crystal structure of CaZrMo. Source: Alexandria, functional PBE.

Calculated values
Symmetry: No. 216
Energy above the lowest structure with this stoichiometry (meV/atom): 636.7
Spin magnetization (μB per cell): 0.0

The structure in POSCAR format:
```
CaZrMo
1.0
0.000 3.362 3.362
3.362 0.000 3.362
3.362 3.362 0.000
Ca Zr Mo
1 1 1
direct
0.000 0.000 0.000
0.500 0.500 0.500
0.250 0.250 0.250
```

An optimized crystal structure of Sc2CoBr. Source: Alexandria, functional PBE.

Calculated values
Symmetry: No. 65
Energy above the lowest structure with this stoichiometry (meV/atom): 410.3
Spin magnetization (μB per cell): 0.1

The structure in POSCAR format:
```
Sc2CoBr
1.0
3.206 -3.578 0.000
3.206 3.578 0.000
0.000 0.000 3.151
Sc Co Br
2 1 1
direct
0.000 0.500 0.000
0.500 0.000 0.000
0.000 0.000 0.500
0.500 0.500 0.500
```

An optimized crystal structure of Rb2P2HS6. Source: Alexandria, functional PBE.

Calculated values
Total energy (eV per atom): -4.0727
Symmetry: No. 166
Spin magnetization (μB per cell): 1.0

The structure in POSCAR format:
```
Rb2P2HS6
1.0
3.561 2.056 7.927
-3.561 2.056 7.927
0.000 -4.112 7.927
Rb P H S
2 2 1 6
direct
0.239 0.239 0.239
0.761 0.761 0.761
0.419 0.419 0.419
0.581 0.581 0.581
0.000 0.000 0.000
0.258 0.258 0.735
0.258 0.735 0.258
0.265 0.742 0.742
0.735 0.258 0.258
0.742 0.265 0.742
0.742 0.742 0.265
```

no.,calculated density (Mg/m³)
1,10.1
2,5.9
3,5.4
4,3.3
5,12.0
6,5.0
7,5.3
8,2.0